VASP calculation (PBE) on a relaxed structure of Hg2AuO4.

a = 6.6914 Å, b = 6.6914 Å, c = 6.6914 Å
α = 120.01°, β = 89.98°, γ = 120.01°
Last column: nearest neighbours and their distance in Å.
Fractional positions:
Au1 0.0000 0.0000 0.0000  4 O 2.10
Au2 0.7500 0.5000 0.2500  4 O 2.10
Hg1 0.3750 0.7500 0.1250  6 O 2.34
Hg2 0.8750 0.2500 0.6250  6 O 2.34
Hg3 0.3750 0.7500 0.6250  6 O 2.34
Hg4 0.3750 0.2500 0.6250  6 O 2.34
O1 0.6219 0.2440 0.3778  1 Au 2.10, 3 Hg 2.34
O2 0.1338 0.7560 0.3778  1 Au 2.10, 3 Hg 2.34
O3 0.6222 0.7560 0.3781  1 Au 2.10, 3 Hg 2.34
O4 0.1278 0.2560 0.3838  1 Au 2.10, 3 Hg 2.34
O5 0.6222 0.2440 0.8662  1 Au 2.10, 3 Hg 2.34
O6 0.1278 0.7440 0.8719  1 Au 2.10, 3 Hg 2.34
O7 0.1281 0.2560 0.8722  1 Au 2.10, 3 Hg 2.34
O8 0.6162 0.7440 0.8722  1 Au 2.10, 3 Hg 2.34

Output
As for the space-group type: No. 227. As for the uncorrected energy: -44.63 eV/cell.

VASP calculation (PBE) on a relaxed structure of FeCuSiW.

a = 4.1661 Å, b = 4.1661 Å, c = 4.1661 Å
α = 60.00°, β = 60.00°, γ = 60.00°
Last column: nearest neighbours and their distance in Å.
Fractional positions:
Cu1 0.5000 0.5000 0.5000  4 W 2.55, 4 Fe 2.55
Fe1 0.7500 0.7500 0.7500  4 Cu 2.55, 4 Si 2.55
Si1 0.0000 0.0000 0.0000  4 W 2.55, 4 Fe 2.55
W1 0.2500 0.2500 0.2500  4 Si 2.55, 4 Cu 2.55

Output
As for the space-group type: No. 216. As for the relative energy among the computed polymorphs: 0.242 eV per formula unit. As for the spin magnetization: 1.91 μB per formula unit.

VASP calculation (PBE) on a relaxed structure of Hf2BIr.

a = 4.4416 Å, b = 4.4416 Å, c = 4.4416 Å
α = 60.00°, β = 60.00°, γ = 60.00°
Last column: nearest neighbours and their distance in Å.
Fractional positions:
B1 0.5000 0.5000 0.5000  4 Ir 2.72, 4 Hf 2.72
Hf1 0.0000 0.0000 0.0000  4 Hf 2.72, 4 Ir 2.72
Hf2 0.7500 0.7500 0.7500  4 Hf 2.72, 4 B 2.72
Ir1 0.2500 0.2500 0.2500  4 B 2.72, 4 Hf 2.72

Output
As for the space-group type: No. 216. As for the uncorrected energy: -34.22 eV/cell. As for the spin magnetization: 0.01 μB per formula unit.

VASP calculation (PBE) on a relaxed structure of Na2Zn2ReO6.

a = 5.2622 Å, b = 5.2622 Å, c = 5.6954 Å
α = 100.35°, β = 100.35°, γ = 118.08°
Last column: nearest neighbours and their distance in Å.
Fractional positions:
Na1 0.8220 0.1780 0.5000  6 O 2.37-2.39
Na2 0.1780 0.8220 0.5000  6 O 2.37-2.39
O1 0.7686 0.7686 0.1979  1 Re 1.96, 2 Zn 2.10
O2 0.3748 0.0639 0.2039  1 Re 1.94, 1 Zn 2.12
O3 0.0639 0.3748 0.2039  1 Re 1.94, 1 Zn 2.12
O4 0.9361 0.6252 0.7961  1 Re 1.94, 1 Zn 2.12
O5 0.6252 0.9361 0.7961  1 Re 1.94, 1 Zn 2.12
O6 0.2314 0.2314 0.8021  1 Re 1.96, 2 Zn 2.10
Re1 0.0000 0.0000 0.0000  6 O 1.94-1.96
Zn1 0.6625 0.3375 0.0000  6 O 2.10-2.21
Zn2 0.3375 0.6625 0.0000  6 O 2.10-2.21

Output
As for the space-group type: No. 12. As for the uncorrected energy: -63.56 eV/cell. As for the spin magnetization: 0.99 μB per formula unit.